Material: KIr2Se2
Method: DFT, GGA-PBE
State: relaxed

Unit cell a=4.029 b=4.029 c=13.620 alpha=90.00 beta=90.00 gamma=90.00
Space group I4/mmm (No. 139)
One atom of each set of equivalent atoms:
K  0.000  0.000  0.000 [2 per cell]
Ir  0.000  0.500  0.250 [4 per cell]
Se  0.000  0.000  0.360 [4 per cell]

Values from the calculation:
Excess energy over the best structure of this formula in the dataset (eV per atom): 0.0000
Uncorrected energy (eV per atom): -5.32
V (Å³/f.u.): 110.6

---

Material: CsCaAs2Se
Method: DFT, GGA-PBE
State: relaxed

Unit cell a=5.622 b=5.622 c=5.627 alpha=90.00 beta=90.00 gamma=90.00
Space group P4/mmm (No. 123)
One atom of each set of equivalent atoms:
Cs  0.000  0.000  0.000 [1 per cell]
Ca  0.500  0.500  0.500 [1 per cell]
As  0.000  0.500  0.500 [2 per cell]
Se  0.500  0.500  0.000 [1 per cell]

Values from the calculation:
Excess energy over the best structure of this formula in the dataset (eV per atom): 0.0000
Uncorrected energy (eV per atom): -3.23
V (Å³/f.u.): 177.8

---

Material: BaTlAg2
Method: DFT, GGA-PBE
State: relaxed

Unit cell a=4.336 b=4.771 c=6.119 alpha=90.00 beta=107.55 gamma=90.00
Space group Pm (No. 6)
One atom of each set of equivalent atoms:
Ba  0.000  0.000  0.000 [1 per cell]
Tl  0.723  0.500  0.405 [1 per cell]
Ag  0.328  0.000  0.544 [1 per cell]
Ag  0.407  0.500  0.796 [1 per cell]

Values from the calculation:
Excess energy over the best structure of this formula in the dataset (eV per atom): 0.1011
Uncorrected energy (eV per atom): -2.61
V (Å³/f.u.): 120.7
Energy of formation (kJ/mol of formula units): -44

---

Material: Rh3Au5
Method: DFT, GGA-PBE
State: relaxed

Unit cell a=4.901 b=7.134 c=8.385 alpha=85.98 beta=80.23 gamma=73.44
Space group P-1 (No. 2)
One atom of each set of equivalent atoms:
Rh  0.097  0.154  0.009 [2 per cell]
Rh  0.286  0.939  0.470 [2 per cell]
Rh  0.389  0.494  0.379 [2 per cell]
Au  0.025  0.702  0.662 [2 per cell]
Au  0.160  0.275  0.660 [2 per cell]
Au  0.237  0.482  0.073 [2 per cell]
Au  0.368  0.814  0.158 [2 per cell]
Au  0.417  0.865  0.790 [2 per cell]

Values from the calculation:
Excess energy over the best structure of this formula in the dataset (eV per atom): 0.0000
Uncorrected energy (eV per atom): -4.53
V (Å³/f.u.): 138.4
Energy of formation (kJ/mol of formula units): 210

---

Material: Tb4ZnCu3
Method: DFT, GGA-PBE
State: relaxed

Unit cell a=3.506 b=4.972 c=9.915 alpha=90.00 beta=90.00 gamma=90.00
Space group Pmmm (No. 47)
One atom of each set of equivalent atoms:
Tb  0.000  0.000  0.000 [1 per cell]
Tb  0.000  0.000  0.500 [1 per cell]
Tb  0.000  0.500  0.245 [2 per cell]
Zn  0.500  0.500  0.500 [1 per cell]
Cu  0.500  0.000  0.252 [2 per cell]
Cu  0.500  0.500  0.000 [1 per cell]

Values from the calculation:
Excess energy over the best structure of this formula in the dataset (eV per atom): 0.0000
Uncorrected energy (eV per atom): -4.27
V (Å³/f.u.): 172.8
Energy of formation (kJ/mol of formula units): -202

---

Material: Ce6Ir2SBr3
Method: DFT, GGA-PBE
State: relaxed

Unit cell a=7.138 b=12.355 c=7.798 alpha=90.00 beta=107.74 gamma=90.00
Space group C2/m (No. 12)
One atom of each set of equivalent atoms:
Ce  0.229  0.000  0.204 [4 per cell]
Ce  0.238  0.331  0.205 [8 per cell]
Ir  0.000  0.167  0.000 [4 per cell]
S  0.000  0.500  0.000 [2 per cell]
Br  0.000  0.000  0.500 [2 per cell]
Br  0.000  0.335  0.500 [4 per cell]

Values from the calculation:
Uncorrected energy (eV per atom): -6.41
V (Å³/f.u.): 327.5

---

Material: Nd7ZnGa5
Method: DFT, GGA-PBE
State: relaxed

Unit cell a=6.476 b=9.995 c=10.757 alpha=90.00 beta=90.00 gamma=90.00
Space group Imm2 (No. 44)
One atom of each set of equivalent atoms:
Nd  0.000  0.000  0.000 [2 per cell]
Nd  0.000  0.000  0.375 [2 per cell]
Nd  0.000  0.313  0.620 [4 per cell]
Nd  0.000  0.322  0.102 [4 per cell]
Nd  0.000  0.500  0.345 [2 per cell]
Zn  0.000  0.000  0.686 [2 per cell]
Ga  0.000  0.500  0.857 [2 per cell]
Ga  0.225  0.245  0.864 [8 per cell]

Values from the calculation:
Uncorrected energy (eV per atom): -4.16
V (Å³/f.u.): 348.1
Energy of formation (kJ/mol of formula units): -416

---

Material: TbTm9In2
Method: DFT, GGA-PBE
State: relaxed

Unit cell a=4.814 b=4.814 c=14.713 alpha=90.00 beta=90.00 gamma=90.00
Space group P4/mmm (No. 123)
One atom of each set of equivalent atoms:
Tb  0.000  0.000  0.000 [1 per cell]
Tm  0.000  0.500  0.172 [4 per cell]
Tm  0.000  0.500  0.500 [2 per cell]
Tm  0.500  0.500  0.000 [1 per cell]
Tm  0.500  0.500  0.338 [2 per cell]
In  0.000  0.000  0.339 [2 per cell]

Values from the calculation:
Uncorrected energy (eV per atom): -4.36
V (Å³/f.u.): 340.9
Energy of formation (kJ/mol of formula units): -185